Entry 1:
VASP calculation (GGA-PBE) on a relaxed Zn2RePt crystal.

The mass density comes out at 14.43 g cm⁻³. Its calculated formation energy is -0.0246 eV per atom.

abc: 3.3175 4.2916 8.2758
angles: 90.00 90.00 90.00
Space group Cmmm (No. 65)
Inequivalent atoms, fractional coordinates:
Zn  0.0000  0.0000  0.2451 (multiplicity 4)
Re  0.0000  0.5000  0.5000 (multiplicity 2)
Pt  0.0000  0.5000  0.0000 (multiplicity 2)

=====

Entry 2:
VASP calculation (GGA-PBE) on a relaxed Cu6Pt2Au crystal.

The mass density comes out at 11.37 g cm⁻³. Its calculated formation energy is 0.1720 eV per atom.

abc: 4.8809 4.8809 6.8577
angles: 90.00 90.00 120.00
Space group P6/mmm (No. 191)
Inequivalent atoms, fractional coordinates:
Cu  0.0000  0.5000  0.1792 (multiplicity 6)
Pt  0.3333  0.6667  0.5000 (multiplicity 2)
Au  0.0000  0.0000  0.0000 (multiplicity 1)

=====

Entry 3:
VASP calculation (GGA-PBE) on a relaxed RbMgTl5 crystal.

The mass density comes out at 7.71 g cm⁻³. Its calculated formation energy is -0.0364 eV per atom.

abc: 4.6648 4.6648 11.1941
angles: 90.00 90.00 90.00
Space group P4/mmm (No. 123)
Inequivalent atoms, fractional coordinates:
Rb  0.0000  0.0000  0.0000 (multiplicity 1)
Mg  0.5000  0.5000  0.5000 (multiplicity 1)
Tl  0.0000  0.0000  0.5000 (multiplicity 1)
Tl  0.0000  0.5000  0.2783 (multiplicity 4)

=====

Entry 4:
VASP calculation (GGA-PBE) on a relaxed Ce2DySi2 crystal.

The mass density comes out at 6.80 g cm⁻³.

abc: 7.5329 7.5329 4.2958
angles: 90.00 90.00 90.00
Space group P4/mbm (No. 127)
Inequivalent atoms, fractional coordinates:
Ce  0.1783  0.3217  0.0000 (multiplicity 4)
Dy  0.0000  0.0000  0.5000 (multiplicity 2)
Si  0.1156  0.6156  0.5000 (multiplicity 4)

=====

| no. | excess energy over the best structure of this formula in the dataset (eV per formula unit) |
| --- | --- |
| 1 | 0.193 |
| 2 | 1.377 |
| 3 | 0.000 |
| 4 | 0.000 |